The following is a DFT calculation (GGA-PBE) of TbSnIrO6 after structural relaxation.

Unit cell a=5.401 b=5.401 c=8.987 alpha=90.00 beta=90.00 gamma=120.00
Atoms (fractional coordinates):
O (0.683, 0.646, 0.123)
O (0.317, 0.354, 0.877)
O (0.317, 0.963, 0.623)
O (0.963, 0.317, 0.123)
O (0.037, 0.354, 0.623)
O (0.963, 0.646, 0.377)
Sn (0.000, 0.000, 0.500)
O (0.646, 0.683, 0.623)
Ir (0.333, 0.667, 0.750)
O (0.683, 0.037, 0.377)
O (0.646, 0.963, 0.877)
Tb (0.667, 0.333, 0.750)
Ir (0.667, 0.333, 0.250)
Tb (0.333, 0.667, 0.250)
O (0.037, 0.683, 0.877)
O (0.354, 0.317, 0.377)
O (0.354, 0.037, 0.123)
Sn (0.000, 0.000, 0.000)

Values from the calculation:
- Crystal system: trigonal
- DOS(E_F): 13.38 states/eV per cell
- Total magnetization: 0.01 μB/cell
- Uncorrected formation energy: -1642 meV/atom

The following is a DFT calculation (GGA-PBE) of In2FeSi after structural relaxation.

Unit cell a=6.502 b=6.502 c=4.588 alpha=69.36 beta=69.36 gamma=25.08
Each line ends with the local moment (μB).
Atoms (fractional coordinates):
Si (0.576, 0.576, 0.424)  -0.03
Fe (0.234, 0.234, 0.266)  1.18
In (0.748, 0.748, 0.752)  -0.05
In (0.942, 0.942, 0.058)  -0.01

Values from the calculation:
- Crystal system: orthorhombic
- DOS(E_F): 2.73 states/eV per cell
- Total magnetization: 1.06 μB/cell
- Uncorrected formation energy: 229 meV/atom

The following is a DFT calculation (GGA-PBE) of YTl2C2O6 after structural relaxation.

Unit cell a=5.364 b=5.400 c=8.263 alpha=109.95 beta=90.00 gamma=119.78
Atoms (fractional coordinates):
O (0.245, 0.489, 0.323)
O (0.172, 0.925, 0.677)
O (0.828, 0.075, 0.323)
C (0.893, 0.785, 0.675)
Tl (0.322, 0.645, 0.962)
O (0.755, 0.511, 0.677)
Y (0.500, 0.000, 0.500)
C (0.107, 0.215, 0.325)
Tl (0.678, 0.355, 0.038)
O (0.246, 0.075, 0.323)
O (0.754, 0.925, 0.677)

Values from the calculation:
- Crystal system: monoclinic
- DOS(E_F): 1.60 states/eV per cell
- Total magnetization: 0.00 μB/cell
- Uncorrected formation energy: -1659 meV/atom

The following is a DFT calculation (GGA-PBE) of CeSm6Dy2Er after structural relaxation.

Unit cell a=8.833 b=6.930 c=6.666 alpha=121.32 beta=102.69 gamma=90.00
Each line ends with the local moment (μB).
Atoms (fractional coordinates):
Sm (0.202, 0.064, 0.655)  0.02
Sm (0.202, 0.591, 0.655)  0.02
Dy (0.831, 0.910, 0.821)  0.04
Sm (0.798, 0.936, 0.345)  0.02
Er (0.500, 0.000, 0.000)  -0.01
Sm (0.798, 0.409, 0.345)  0.02
Sm (0.417, 0.625, 0.250)  0.03
Dy (0.169, 0.090, 0.179)  0.04
Sm (0.583, 0.375, 0.750)  0.03
Ce (0.000, 0.500, 0.000)  0.79

Values from the calculation:
- Crystal system: monoclinic
- Formation energy from the elements: 0.2471 eV per atom
- DOS(E_F): 22.65 states/eV per cell
- Total magnetization: 1.38 μB/cell

The following is a DFT calculation (GGA-PBE) of Ac2Ce4As3N2 after structural relaxation.

Unit cell a=4.670 b=4.670 c=13.151 alpha=100.23 beta=100.23 gamma=90.00
Each line ends with the local moment (μB).
Atoms (fractional coordinates):
Ce (0.422, 0.922, 0.844)  0.64
Ce (0.578, 0.078, 0.156)  0.64
N (0.597, 0.597, 0.195)  -0.04
Ac (0.697, 0.697, 0.395)  0.09
Ac (0.303, 0.303, 0.605)  0.09
Ce (0.078, 0.578, 0.156)  0.64
As (0.169, 0.169, 0.337)  -0.02
As (0.000, 0.000, 0.000)  -0.02
N (0.403, 0.403, 0.805)  -0.04
Ce (0.922, 0.422, 0.844)  0.64
As (0.831, 0.831, 0.663)  -0.02

Values from the calculation:
- Crystal system: tetragonal
- DOS(E_F): 20.75 states/eV per cell
- Total magnetization: 3.50 μB/cell
- Uncorrected formation energy: -1230 meV/atom

The following is a DFT calculation (GGA-PBE) of Co2PPt after structural relaxation.

Unit cell a=7.782 b=7.782 c=7.782 alpha=20.08 beta=20.08 gamma=20.08
Each line ends with the local moment (μB).
Atoms (fractional coordinates):
Co (0.513, 0.513, 0.513)  0.28
Pt (0.750, 0.750, 0.750)  0.01
P (0.250, 0.250, 0.250)  -0.01
Co (0.987, 0.987, 0.987)  0.28

Values from the calculation:
- Crystal system: trigonal
- Formation energy from the elements: -0.1905 eV per atom
- DOS(E_F): 3.98 states/eV per cell
- Total magnetization: 0.53 μB/cell

The following is a DFT calculation (GGA-PBE) of Tl2GaPtO4 after structural relaxation.

Unit cell a=5.968 b=6.927 c=9.523 alpha=82.24 beta=71.74 gamma=64.48
Atoms (fractional coordinates):
O (0.903, 0.706, 0.512)
O (0.165, 0.206, 0.988)
O (0.391, 0.706, 0.488)
Tl (0.580, 0.500, 0.840)
O (0.585, 0.294, 0.512)
Pt (0.000, 0.000, 0.000)
Tl (0.830, 0.000, 0.340)
Tl (0.920, 0.500, 0.160)
Pt (0.750, 0.500, 0.500)
O (0.847, 0.794, 0.988)
Ga (0.500, 0.000, 0.000)
O (0.629, 0.206, 0.012)
O (0.121, 0.294, 0.488)
O (0.359, 0.794, 0.012)
Ga (0.250, 0.500, 0.500)
Tl (0.170, 0.000, 0.660)

Values from the calculation:
- Crystal system: orthorhombic
- DOS(E_F): 10.13 states/eV per cell
- Total magnetization: 0.00 μB/cell
- Uncorrected formation energy: -782 meV/atom

The following is a DFT calculation (GGA-PBE) of La3TbH after structural relaxation.

Unit cell a=5.238 b=5.238 c=5.238 alpha=90.00 beta=90.00 gamma=90.00
Atoms (fractional coordinates):
La (0.000, 0.000, 0.500)
Tb (0.500, 0.500, 0.500)
La (0.000, 0.500, 0.000)
La (0.500, 0.000, 0.000)
H (0.000, 0.000, 0.000)

Values from the calculation:
- Crystal system: cubic
- VASP energy: -23.6 eV per cell
- DOS(E_F): 5.22 states/eV per cell
- Total magnetization: 0.00 μB/cell